Density functional theory data (GGA-PBEsol) for crystalline BaCa2Zn at its relaxed geometry.

Values from the calculation:
Space group: No. 123
ΔH_f (0 K) (eV/f.u.): -0.29
Calculated volume (Å³/cell): 140.73
Uncorrected energy (eV per cell): -8.29

Unit cell a=3.7471 b=3.7471 c=10.0226 alpha=90.00 beta=90.00 gamma=90.00
With the nearest neighbours (Å) after each atom.
Positions (direct):
Ca: 0.0000 0.0000 0.8273  4 Zn 3.16, 1 Ca 3.46
Ca: 0.0000 0.0000 0.1727  4 Zn 3.16, 1 Ca 3.46
Ba: 0.5000 0.5000 0.5000  4 Ba 3.75
Zn: 0.5000 0.5000 0.0000  8 Ca 3.16

=====

Density functional theory data (GGA-PBEsol) for crystalline TaTiAs2Se at its relaxed geometry.

Values from the calculation:
Space group: No. 123
Uncorrected formation energy (meV/atom): 411
Calculated volume (Å³/cell): 118.83
Uncorrected energy (eV per cell): -32.88

Unit cell a=4.9113 b=4.9188 c=4.9188 alpha=90.00 beta=90.00 gamma=90.00
With the nearest neighbours (Å) after each atom.
Positions (direct):
Ti: 0.5000 0.5000 0.5000  8 As 3.48, 4 Se 3.48
Se: 0.5000 0.0000 0.0000  2 Ta 2.46
As: 0.0000 0.5000 0.0000  2 Ta 2.46
Ta: 0.0000 0.0000 0.0000  2 Se 2.46, 4 As 2.46
As: 0.0000 0.0000 0.5000  2 Ta 2.46